No. 1
Computed, not measured: an optimized crystal structure of LaY12Ni6 at the PBE-GGA level of DFT.

Cell and atoms, written as CIF:
```
data_LaY12Ni6
_chemical_formula_sum 'La2 Y24 Ni12'
_symmetry_space_group_name_H-M 'I m -3'
_symmetry_Int_Tables_number 204
_symmetry_space_group_name_Hall '-I 2 2 3'
_cell_length_a 9.9199
_cell_length_b 9.9199
_cell_length_c 9.9199
_cell_angle_alpha 90.00
_cell_angle_beta 90.00
_cell_angle_gamma 90.00
loop_
_atom_site_label
_atom_site_type_symbol
_atom_site_fract_x
_atom_site_fract_y
_atom_site_fract_z
La1 La 0.0000 0.0000 0.0000
Y1 Y 0.0000 0.3116 0.1846
Ni1 Ni 0.0000 0.1224 0.5000
```

Computed properties:
- Energy: -6.40 eV per atom
- Crystal system: cubic

***

No. 2
Computed, not measured: an optimized crystal structure of La2YNi at the PBE-GGA level of DFT.

Cell and atoms, written as CIF:
```
data_La2YNi
_chemical_formula_sum 'La6 Y3 Ni3'
_symmetry_space_group_name_H-M 'R 3 m'
_symmetry_Int_Tables_number 160
_symmetry_space_group_name_Hall 'R 3 -2"'
_cell_length_a 3.8935
_cell_length_b 3.8935
_cell_length_c 28.1230
_cell_angle_alpha 90.00
_cell_angle_beta 90.00
_cell_angle_gamma 120.00
loop_
_atom_site_label
_atom_site_type_symbol
_atom_site_fract_x
_atom_site_fract_y
_atom_site_fract_z
La1 La 0.0000 0.0000 0.0000
La2 La 0.0000 0.0000 0.2106
Y1 Y 0.0000 0.0000 0.4381
Ni1 Ni 0.0000 0.0000 0.6050
```

Computed properties:
- ΔE to the lowest computed polymorph: 135 meV/atom
- Crystal system: trigonal

***

No. 3
Computed, not measured: an optimized crystal structure of La2YNi at the PBE-GGA level of DFT.

Cell and atoms, written as CIF:
```
data_La2YNi
_chemical_formula_sum 'La2 Y1 Ni1'
_symmetry_space_group_name_H-M 'P 4/m m m'
_symmetry_Int_Tables_number 123
_symmetry_space_group_name_Hall '-P 4 2'
_cell_length_a 3.6215
_cell_length_b 3.6215
_cell_length_c 8.8453
_cell_angle_alpha 90.00
_cell_angle_beta 90.00
_cell_angle_gamma 90.00
loop_
_atom_site_label
_atom_site_type_symbol
_atom_site_fract_x
_atom_site_fract_y
_atom_site_fract_z
La1 La 0.0000 0.0000 0.1896
Y1 Y 0.5000 0.5000 0.5000
Ni1 Ni 0.5000 0.5000 0.0000
```

Computed properties:
- ΔE to the lowest computed polymorph: 123 meV/atom
- Crystal system: tetragonal

***

No. 4
Computed, not measured: an optimized crystal structure of La2YNi at the PBE-GGA level of DFT.

Cell and atoms, written as CIF:
```
data_La2YNi
_chemical_formula_sum 'La8 Y4 Ni4'
_symmetry_space_group_name_H-M 'P n m a'
_symmetry_Int_Tables_number 62
_symmetry_space_group_name_Hall '-P 2ac 2n'
_cell_length_a 7.0883
_cell_length_b 10.2331
_cell_length_c 6.4255
_cell_angle_alpha 90.00
_cell_angle_beta 90.00
_cell_angle_gamma 90.00
loop_
_atom_site_label
_atom_site_type_symbol
_atom_site_fract_x
_atom_site_fract_y
_atom_site_fract_z
La1 La 0.1754 0.0688 0.1755
Y1 Y 0.0356 0.2500 0.6596
Ni1 Ni 0.1178 0.7500 0.9325
```

Computed properties:
- ΔE to the lowest computed polymorph: 0 meV/atom
- Crystal system: orthorhombic

***

No. 5
Computed, not measured: an optimized crystal structure of La2Y2Ni at the PBE-GGA level of DFT.

Cell and atoms, written as CIF:
```
data_La2Y2Ni
_chemical_formula_sum 'La4 Y4 Ni2'
_symmetry_space_group_name_H-M 'P 4/m b m'
_symmetry_Int_Tables_number 127
_symmetry_space_group_name_Hall '-P 4 2ab'
_cell_length_a 7.2617
_cell_length_b 7.2617
_cell_length_c 5.7703
_cell_angle_alpha 90.00
_cell_angle_beta 90.00
_cell_angle_gamma 90.00
loop_
_atom_site_label
_atom_site_type_symbol
_atom_site_fract_x
_atom_site_fract_y
_atom_site_fract_z
La1 La 0.1573 0.3427 0.0000
Y1 Y 0.1632 0.6632 0.5000
Ni1 Ni 0.0000 0.0000 0.0000
```

Computed properties:
- ΔE to the lowest computed polymorph: 47 meV/atom
- Crystal system: tetragonal

***

No. 6
Computed, not measured: an optimized crystal structure of La2Y2Ni at the PBE-GGA level of DFT.

Cell and atoms, written as CIF:
```
data_La2Y2Ni
_chemical_formula_sum 'La4 Y4 Ni2'
_symmetry_space_group_name_H-M 'P 4/m b m'
_symmetry_Int_Tables_number 127
_symmetry_space_group_name_Hall '-P 4 2ab'
_cell_length_a 7.2055
_cell_length_b 7.2055
_cell_length_c 5.8539
_cell_angle_alpha 90.00
_cell_angle_beta 90.00
_cell_angle_gamma 90.00
loop_
_atom_site_label
_atom_site_type_symbol
_atom_site_fract_x
_atom_site_fract_y
_atom_site_fract_z
La1 La 0.1629 0.3371 0.0000
Y1 Y 0.1620 0.6620 0.5000
Ni1 Ni 0.0000 0.0000 0.5000
```

Computed properties:
- ΔE to the lowest computed polymorph: 0 meV/atom
- Crystal system: tetragonal

***

No. 7
Computed, not measured: an optimized crystal structure of LaZn2Ni at the PBE-GGA level of DFT.

Cell and atoms, written as CIF:
```
data_LaZn2Ni
_chemical_formula_sum 'La4 Zn8 Ni4'
_symmetry_space_group_name_H-M 'F -4 3 m'
_symmetry_Int_Tables_number 216
_symmetry_space_group_name_Hall 'F -4 2 3'
_cell_length_a 6.7339
_cell_length_b 6.7339
_cell_length_c 6.7339
_cell_angle_alpha 90.00
_cell_angle_beta 90.00
_cell_angle_gamma 90.00
loop_
_atom_site_label
_atom_site_type_symbol
_atom_site_fract_x
_atom_site_fract_y
_atom_site_fract_z
La1 La 0.0000 0.0000 0.0000
Zn1 Zn 0.0000 0.0000 0.5000
Zn2 Zn 0.2500 0.2500 0.2500
Ni1 Ni 0.2500 0.2500 0.7500
```

Computed properties:
- Energy: -3.48 eV per atom
- Crystal system: cubic

***

No. 8
Computed, not measured: an optimized crystal structure of LaZnNi at the PBE-GGA level of DFT.

Cell and atoms, written as CIF:
```
data_LaZnNi
_chemical_formula_sum 'La3 Zn3 Ni3'
_symmetry_space_group_name_H-M 'P -6 2 m'
_symmetry_Int_Tables_number 189
_symmetry_space_group_name_Hall 'P -6 -2'
_cell_length_a 7.3054
_cell_length_b 7.3054
_cell_length_c 3.9253
_cell_angle_alpha 90.00
_cell_angle_beta 90.00
_cell_angle_gamma 120.00
loop_
_atom_site_label
_atom_site_type_symbol
_atom_site_fract_x
_atom_site_fract_y
_atom_site_fract_z
La1 La 0.0000 0.5833 0.0000
Zn1 Zn 0.0000 0.2287 0.5000
Ni1 Ni 0.0000 0.0000 0.0000
Ni2 Ni 0.3333 0.6667 0.5000
```

Computed properties:
- ΔE to the lowest computed polymorph: 1 meV/atom
- Crystal system: hexagonal

***

No. 9
Computed, not measured: an optimized crystal structure of La2Zn2Ni at the PBE-GGA level of DFT.

Cell and atoms, written as CIF:
```
data_La2Zn2Ni
_chemical_formula_sum 'La8 Zn8 Ni4'
_symmetry_space_group_name_H-M 'C 1 2/m 1'
_symmetry_Int_Tables_number 12
_symmetry_space_group_name_Hall '-C 2y'
_cell_length_a 11.4821
_cell_length_b 3.9306
_cell_length_c 11.9297
_cell_angle_alpha 90.00
_cell_angle_beta 117.60
_cell_angle_gamma 90.00
loop_
_atom_site_label
_atom_site_type_symbol
_atom_site_fract_x
_atom_site_fract_y
_atom_site_fract_z
La1 La 0.0726 0.0000 0.3590
La2 La 0.2082 0.0000 0.1195
Zn1 Zn 0.0085 0.5000 0.8841
Zn2 Zn 0.1228 0.5000 0.5876
Ni1 Ni 0.2294 0.5000 0.3060
```

Computed properties:
- ΔE to the lowest computed polymorph: 0 meV/atom
- Crystal system: monoclinic

***

No. 10
Computed, not measured: an optimized crystal structure of LaZn2Ni at the PBE-GGA level of DFT.

Cell and atoms, written as CIF:
```
data_LaZn2Ni
_chemical_formula_sum 'La1 Zn2 Ni1'
_symmetry_space_group_name_H-M 'P 4/m m m'
_symmetry_Int_Tables_number 123
_symmetry_space_group_name_Hall '-P 4 2'
_cell_length_a 3.1960
_cell_length_b 3.1960
_cell_length_c 7.1563
_cell_angle_alpha 90.00
_cell_angle_beta 90.00
_cell_angle_gamma 90.00
loop_
_atom_site_label
_atom_site_type_symbol
_atom_site_fract_x
_atom_site_fract_y
_atom_site_fract_z
La1 La 0.0000 0.0000 0.0000
Zn1 Zn 0.5000 0.5000 0.3231
Ni1 Ni 0.0000 0.0000 0.5000
```

Computed properties:
- Energy: -3.48 eV per atom
- Crystal system: tetragonal

***

No. 11
Computed, not measured: an optimized crystal structure of La3Zn3Ni8 at the PBE-GGA level of DFT.

Cell and atoms, written as CIF:
```
data_La3Zn3Ni8
_chemical_formula_sum 'La6 Zn6 Ni16'
_symmetry_space_group_name_H-M 'I m m m'
_symmetry_Int_Tables_number 71
_symmetry_space_group_name_Hall '-I 2 2'
_cell_length_a 4.1413
_cell_length_b 9.2438
_cell_length_c 12.4684
_cell_angle_alpha 90.00
_cell_angle_beta 90.00
_cell_angle_gamma 90.00
loop_
_atom_site_label
_atom_site_type_symbol
_atom_site_fract_x
_atom_site_fract_y
_atom_site_fract_z
La1 La 0.0000 0.0000 0.0000
La2 La 0.0000 0.0000 0.2939
Zn1 Zn 0.0000 0.2264 0.5000
Zn2 Zn 0.0000 0.5000 0.0000
Ni1 Ni 0.0000 0.2735 0.1062
Ni2 Ni 0.0000 0.2976 0.3013
```

Computed properties:
- Energy: -4.94 eV per atom
- Crystal system: orthorhombic